First-principles (PBE-GGA) data for a relaxed NdMg2BRu2 crystal, as listed in Alexandria via LeMat-Bulk.

Lattice parameters (Å, degrees): 4.311 4.311 5.759 90.00 90.00 90.00
Space group P4/mmm (No. 123)
Asymmetric unit:
Nd1 0.000 0.000 0.000 [1 per cell]
Mg1 0.500 0.500 0.246 [2 per cell]
B1 0.000 0.000 0.500 [1 per cell]
Ru1 0.000 0.500 0.500 [2 per cell]

Calculated formation energy in eV/atom: -0.1772
E in eV per atom: -5.71